(1)
6
Lattice="-3.3482 0.5511 1.3376 -0.3665 -5.5833 1.3828 5.2325 1.5143 7.5010" Properties=species:S:1:pos:R:3 comment="La5In, single point on PBEsol structure, DFT SCAN" delta_e_f_ev_per_fu=-1.2 de_polymorph_mev_per_atom=43.9 energy_ev_per_atom=-41.6792 space_group="Amm2, No. 38" pbc="T T T"
La 0.1665 -1.4981 6.0070
La -0.5955 0.8181 3.1453
La 3.0671 -1.1567 8.1542
La 0.6059 -2.3947 2.5033
In 1.8543 2.0503 8.7699
La 2.3767 1.1955 5.4567


(2)
6
Lattice="-1.9923 3.4700 3.8217 -0.9325 -5.4359 0.4440 5.8654 -0.7042 3.6971" Properties=species:S:1:pos:R:3 comment="La2In, single point on PBEsol structure, DFT SCAN" delta_e_f_ev_per_fu=-1.5 energy_ev_per_atom=-40.3788 space_group="P6_3/mmc, No. 194" pbc="T T T"
La 0.0000 0.0000 0.0000
In 0.1806 -2.6433 2.4942
La -0.1727 0.3253 3.6201
La 3.1133 -2.9954 4.3427
La 2.9327 -0.3521 1.8485
In 2.7600 -0.0268 5.4686


(3)
6
Lattice="-0.4418 0.2784 3.6567 5.1752 -4.0298 -0.9337 3.2163 7.9425 -0.2161" Properties=species:S:1:pos:R:3 comment="La5In, single point on PBEsol structure, DFT SCAN" delta_e_f_ev_per_fu=-1.3 de_polymorph_mev_per_atom=14.7 energy_ev_per_atom=-41.7083 space_group="Cm, No. 8" pbc="T T T"
La 3.1985 5.3251 1.8466
La 2.3103 1.2820 2.0471
In 3.2148 7.9221 -0.2148
La 5.4968 -0.2126 2.5459
La 5.4108 2.7534 0.4440
La 3.1026 -1.8761 0.5176


(4)
8
Lattice="7.0918 0.0000 0.0000 3.5459 6.1416 0.0000 3.5459 2.0472 5.7904" Properties=species:S:1:pos:R:3 comment="La7In, single point on PBEsol structure, DFT SCAN" delta_e_f_ev_per_fu=-1.3 energy_ev_per_atom=-42.0521 space_group="Fm-3m, No. 225" pbc="T T T"
La 1.7729 3.0708 0.0000
La 3.5459 4.0944 2.8952
In 0.0000 0.0000 0.0000
La 5.3188 1.0236 2.8952
La 1.7729 1.0236 2.8952
La 3.5459 0.0000 0.0000
La 5.3188 3.0708 0.0000
La 7.0918 4.0944 2.8952


(5)
6
Lattice="4.9267 0.0000 0.0000 0.0000 5.0007 0.0000 -2.4633 0.0000 7.6411" Properties=species:S:1:pos:R:3 comment="La5In, single point on PBEsol structure, DFT SCAN" delta_e_f_ev_per_fu=-1.4 de_polymorph_mev_per_atom=0.0 energy_ev_per_atom=-41.7231 space_group="Cmmm, No. 65" pbc="T T T"
La 0.0000 2.5004 0.0000
La 2.4633 2.5004 2.4127
La 0.0000 2.5004 5.2284
La 0.0000 0.0000 2.5887
La 2.4633 0.0000 5.0524
In 2.4633 0.0000 0.0000


(6)
18
Lattice="6.5892 0.0000 0.0000 0.0000 9.5492 0.0000 0.0000 -4.7746 8.2699" Properties=species:S:1:pos:R:3 comment="La4In5, single point on PBEsol structure, DFT SCAN" delta_e_f_ev_per_fu=-5.4 energy_ev_per_atom=-38.3015 space_group="P6_3/mcm, No. 193" pbc="T T T"
In 1.6473 -1.4623 2.5328
La 4.9419 3.5031 0.0000
In 4.9419 6.6246 0.0000
In 3.2946 0.0000 5.5132
In 3.2946 4.7746 2.7566
La 3.2946 0.0000 0.0000
In 1.6473 2.9246 0.0000
La 1.6473 6.0461 0.0000
In 4.9419 -3.3123 5.7371
La 1.6473 1.7516 3.0338
In 0.0000 0.0000 5.5132
La 1.6473 -3.0230 5.2360
La 4.9419 3.0230 5.2360
La 0.0000 0.0000 0.0000
In 1.6473 3.3123 5.7371
In 4.9419 1.4623 2.5328
In 0.0000 4.7746 2.7566
La 4.9419 -1.7516 3.0338


(7)
6
Lattice="5.5685 0.0000 0.0000 2.7842 4.8224 0.0000 2.7842 1.6075 4.5466" Properties=species:S:1:pos:R:3 comment="Li4LaIn, single point on PBEsol structure, DFT SCAN" delta_e_f_ev_per_fu=-1.3 energy_ev_per_atom=-14.5576 space_group="F-43m, No. 216" pbc="T T T"
Li 5.5685 4.8001 1.7129
In 8.3527 4.8224 3.4100
La 0.0000 0.0000 0.0000
Li 4.1957 2.4224 1.7129
Li 5.5685 3.2150 3.9546
Li 6.9413 2.4224 1.7129


(8)
4
Lattice="-0.0412 0.0221 5.1362 2.7740 -4.3459 0.0410 1.7077 4.1242 -2.5724" Properties=species:S:1:pos:R:3 comment="LiLaIn2, single point on PBEsol structure, DFT SCAN" delta_e_f_ev_per_fu=-1.7 energy_ev_per_atom=-28.5042 space_group="Imm2, No. 44" pbc="T T T"
In 0.0002 0.0002 0.0000
Li 2.9280 -1.1892 0.0286
La 3.0740 1.9623 0.0162
In 1.5122 0.9895 2.5762


(9)
10
Lattice="-2.5544 1.5744 -3.9108 -3.5292 -6.7094 -0.3960 -5.4496 2.5948 4.6041" Properties=species:S:1:pos:R:3 comment="LiLa2In2, single point on PBEsol structure, DFT SCAN" delta_e_f_ev_per_fu=-2.5 energy_ev_per_atom=-31.5842 space_group="P4/mbm, No. 127" pbc="T T T"
Li -4.4894 -2.0573 2.1041
La -6.2156 -4.0220 -0.6659
Li 0.0000 0.0000 0.0000
La -8.2100 -1.3359 1.7181
In -3.1236 -3.9775 0.4390
In -6.5446 -4.0037 2.6629
In -2.4341 -0.1109 1.5452
In -5.8551 -0.1371 3.7692
La -5.3175 1.4817 0.9632
La -3.3231 -1.2043 -1.4208


(10)
4
Lattice="4.6821 0.0000 0.0000 2.3410 4.0548 0.0000 2.3410 1.3516 5.4269" Properties=species:S:1:pos:R:3 comment="LiLaIn2, single point on PBEsol structure, DFT SCAN" delta_e_f_ev_per_fu=-2.4 energy_ev_per_atom=-28.6584 space_group="R-3m, No. 166" pbc="T T T"
La 4.6821 2.7032 2.7134
Li 0.0000 0.0000 0.0000
In 7.0231 4.0548 4.6655
In 2.3410 1.3516 0.7614


(11)
4
Lattice="-1.8490 1.0683 -2.9821 1.6299 -2.6400 -1.9563 -5.4876 -4.6698 1.7297" Properties=species:S:1:pos:R:3 comment="LiLaIn2, single point on PBEsol structure, DFT SCAN" delta_e_f_ev_per_fu=-1.1 energy_ev_per_atom=-28.3509 space_group="P4mm, No. 99" pbc="T T T"
Li -4.5438 -4.5592 -1.0715
In -1.3041 -1.8023 -2.0927
La -2.7383 -2.3302 0.8631
In -5.3520 -4.5544 1.6870


(12)
4
Lattice="3.3876 0.0000 0.0000 0.0000 3.6048 0.0000 0.0000 0.0000 7.7337" Properties=species:S:1:pos:R:3 comment="LiLaIn2, single point on PBEsol structure, DFT SCAN" delta_e_f_ev_per_fu=-2.2 energy_ev_per_atom=-28.6121 space_group="Pmmm, No. 47" pbc="T T T"
Li 1.6938 1.8024 3.8669
La 1.6938 1.8024 0.0000
In 0.0000 0.0000 5.4232
In 0.0000 0.0000 2.3105


The records above give, respectively, DOS at the Fermi energy values of 7.746 6.545 6.880 8.627 6.148 12.862 0.922 2.112 5.468 1.354 2.804 1.847 states/eV/cell.